Entry from the Alexandria database: a geometry-optimized Rb2BaZnBr6 structure (PBE).

- N(E_F) (states/eV/atom) = 0.000
- spin magnetization (μB per cell) = 0.00
- uncorrected formation energy (eV/atom) = -1.532
- calculated density (Mg/m³) = 3.67

a = 8.1762 Å, b = 8.1762 Å, c = 8.1762 Å
α = 60.00°, β = 60.00°, γ = 60.00°
Sites, in units of the cell vectors:
Rb (0.2500, 0.2500, 0.2500)
Rb (0.7500, 0.7500, 0.7500)
Ba (0.0000, 0.0000, 0.0000)
Zn (0.5000, 0.5000, 0.5000)
Br (0.2716, 0.2716, 0.7284)
Br (0.2716, 0.7284, 0.2716)
Br (0.2716, 0.7284, 0.7284)
Br (0.7284, 0.2716, 0.2716)
Br (0.7284, 0.2716, 0.7284)
Br (0.7284, 0.7284, 0.2716)